# GaAgF6

A geometry-optimized GaAgF6 structure (GGA-PBE, the Alexandria database).

abc: 5.6627 5.6627 5.6627
angles: 60.00 60.00 60.00
Sites, in units of the cell vectors:
Ga 0.0000 0.0000 0.0000
Ag 0.5000 0.5000 0.5000
F 0.2380 0.2380 0.7620
F 0.2380 0.7620 0.2380
F 0.2380 0.7620 0.7620
F 0.7620 0.2380 0.2380
F 0.7620 0.2380 0.7620
F 0.7620 0.7620 0.2380

Output
- Energy relative to the elements, uncorrected: -13.6 eV/f.u.
- E above lowest polymorph: 44 meV per atom
- Size of the total moment: 0.27 μB per formula unit

***

# GaAg3F

A geometry-optimized GaAg3F structure (GGA-PBE, the Alexandria database).

abc: 4.9281 4.9281 4.9281
angles: 90.00 90.00 90.00
Sites, in units of the cell vectors:
Ga 0.0000 0.0000 0.0000
Ag 0.0000 0.0000 0.5000
Ag 0.0000 0.5000 0.0000
Ag 0.5000 0.0000 0.0000
F 0.5000 0.5000 0.5000

Output
- Energy relative to the elements, uncorrected: 1.4 eV/f.u.
- E above lowest polymorph: 296 meV per atom
- Size of the total moment: 0.00 μB per formula unit

***

# GaAgHgF6

A geometry-optimized GaAgHgF6 structure (GGA-PBE, the Alexandria database).

abc: 5.7905 5.7905 9.6757
angles: 90.00 90.00 120.00
Sites, in units of the cell vectors:
Ga 0.3333 0.6667 0.2500
Ga 0.6667 0.3333 0.7500
Ag 0.0000 0.0000 0.0000
Ag 0.0000 0.0000 0.5000
Hg 0.3333 0.6667 0.7500
Hg 0.6667 0.3333 0.2500
F 0.0534 0.3926 0.1384
F 0.0534 0.6607 0.3616
F 0.3393 0.3926 0.3616
F 0.3393 0.9466 0.1384
F 0.3926 0.0534 0.6384
F 0.3926 0.3393 0.8616
F 0.6074 0.6607 0.1384
F 0.6074 0.9466 0.3616
F 0.6607 0.0534 0.8616
F 0.6607 0.6074 0.6384
F 0.9466 0.3393 0.6384
F 0.9466 0.6074 0.8616

Output
- Energy relative to the elements, uncorrected: -16.8 eV/f.u.
- Size of the total moment: 0.06 μB per formula unit